(1)
## CaPtW2 (GGA-PBE)

Data for a relaxed CaPtW2 crystal.

Structure (CIF):
```
data_CaPtW2
_cell_length_a 3.189
_cell_length_b 4.457
_cell_length_c 5.040
_cell_angle_alpha 90.00
_cell_angle_beta 90.00
_cell_angle_gamma 90.00
_symmetry_space_group_name_H-M 'P m m m'
_symmetry_Int_Tables_number 47
_symmetry_space_group_name_Hall '-P 2 2'
loop_
_atom_site_label
_atom_site_type_symbol
_atom_site_fract_x
_atom_site_fract_y
_atom_site_fract_z
Ca1 Ca 0.000 0.000 0.000
Pt1 Pt 0.500 0.500 0.000
W1 W 0.000 0.500 0.500
W2 W 0.500 0.000 0.500
```

Summary:
ΔE_f: 0.36 eV/atom
Total moment: 0.0 Bohr magnetons per cell
Excess energy over the best structure of this formula in the dataset: 0.194 eV/atom

(2)
## RbTi3Re (GGA-PBE)

Data for a relaxed RbTi3Re crystal.

Structure (CIF):
```
data_RbTi3Re
_cell_length_a 4.566
_cell_length_b 4.566
_cell_length_c 4.566
_cell_angle_alpha 90.00
_cell_angle_beta 90.00
_cell_angle_gamma 90.00
_symmetry_space_group_name_H-M 'P m -3 m'
_symmetry_Int_Tables_number 221
_symmetry_space_group_name_Hall '-P 4 2 3'
loop_
_atom_site_label
_atom_site_type_symbol
_atom_site_fract_x
_atom_site_fract_y
_atom_site_fract_z
Rb1 Rb 0.000 0.000 0.000
Ti1 Ti 0.000 0.000 0.500
Re1 Re 0.500 0.500 0.500
```

Summary:
ΔE_f: 2.40 eV/atom
Total moment: 0.0 Bohr magnetons per cell
Excess energy over the best structure of this formula in the dataset: 1.570 eV/atom

(3)
## RbPaHg2I6 (GGA-PBE)

Data for a relaxed RbPaHg2I6 crystal.

Structure (CIF):
```
data_RbPaHg2I6
_cell_length_a 8.356
_cell_length_b 10.050
_cell_length_c 13.194
_cell_angle_alpha 90.00
_cell_angle_beta 113.35
_cell_angle_gamma 90.00
_symmetry_space_group_name_H-M 'P 1 21/c 1'
_symmetry_Int_Tables_number 14
_symmetry_space_group_name_Hall '-P 2ybc'
loop_
_atom_site_label
_atom_site_type_symbol
_atom_site_fract_x
_atom_site_fract_y
_atom_site_fract_z
Rb1 Rb 0.000 0.000 0.000
Pa1 Pa 0.500 0.000 0.500
Hg1 Hg 0.158 0.084 0.764
I1 I 0.180 0.140 0.484
I2 I 0.304 0.747 0.443
I3 I 0.414 0.051 0.264
```

Summary:
Total moment: 0.0 Bohr magnetons per cell
E_form (uncorrected): -0.84 eV per atom

(4)
## La3Te3H (GGA-PBE)

Data for a relaxed La3Te3H crystal.

Structure (CIF):
```
data_La3Te3H
_cell_length_a 8.880
_cell_length_b 12.572
_cell_length_c 7.840
_cell_angle_alpha 90.00
_cell_angle_beta 100.77
_cell_angle_gamma 90.00
_symmetry_space_group_name_H-M 'C 1 2/m 1'
_symmetry_Int_Tables_number 12
_symmetry_space_group_name_Hall '-C 2y'
loop_
_atom_site_label
_atom_site_type_symbol
_atom_site_fract_x
_atom_site_fract_y
_atom_site_fract_z
La1 La 0.104 0.000 0.326
La2 La 0.199 0.349 0.199
Te1 Te 0.000 0.159 0.000
Te2 Te 0.000 0.227 0.500
Te3 Te 0.103 0.500 0.835
H1 H 0.174 0.000 0.649
```

Summary:
Total moment: 0.0 Bohr magnetons per cell
Uncorrected energy: -0.1910 Ha/atom

(5)
## TaPOs (GGA-PBE)

Data for a relaxed TaPOs crystal.

Structure (CIF):
```
data_TaPOs
_cell_length_a 2.9174
_cell_length_b 2.9174
_cell_length_c 6.1396
_cell_angle_alpha 90.00
_cell_angle_beta 90.00
_cell_angle_gamma 120.00
_symmetry_space_group_name_H-M 'P 3 m 1'
_symmetry_Int_Tables_number 156
_symmetry_space_group_name_Hall 'P 3 -2"'
loop_
_atom_site_label
_atom_site_type_symbol
_atom_site_fract_x
_atom_site_fract_y
_atom_site_fract_z
Ta1 Ta 0.0000 0.0000 0.0000
P1 P 0.3333 0.6667 0.6568
Os1 Os 0.6667 0.3333 0.3749
```

Summary:
ΔE_f: -0.01 eV/atom
Total moment: 0.0 Bohr magnetons per cell

(6)
## CrSn3B (GGA-PBE)

Data for a relaxed CrSn3B crystal.

Structure (CIF):
```
data_CrSn3B
_cell_length_a 5.009
_cell_length_b 5.009
_cell_length_c 5.009
_cell_angle_alpha 90.00
_cell_angle_beta 90.00
_cell_angle_gamma 90.00
_symmetry_space_group_name_H-M 'P m -3 m'
_symmetry_Int_Tables_number 221
_symmetry_space_group_name_Hall '-P 4 2 3'
loop_
_atom_site_label
_atom_site_type_symbol
_atom_site_fract_x
_atom_site_fract_y
_atom_site_fract_z
Cr1 Cr 0.000 0.000 0.000
Sn1 Sn 0.000 0.000 0.500
B1 B 0.500 0.500 0.500
```

Summary:
ΔE_f: 1.14 eV/atom
Total moment: 0.9 Bohr magnetons per cell
Excess energy over the best structure of this formula in the dataset: 0.000 eV/atom

(7)
## CeTh5Se6 (GGA-PBE)

Data for a relaxed CeTh5Se6 crystal.

Structure (CIF):
```
data_CeTh5Se6
_cell_length_a 7.287
_cell_length_b 12.608
_cell_length_c 7.268
_cell_angle_alpha 90.00
_cell_angle_beta 109.49
_cell_angle_gamma 90.00
_symmetry_space_group_name_H-M 'C 1 2/m 1'
_symmetry_Int_Tables_number 12
_symmetry_space_group_name_Hall '-C 2y'
loop_
_atom_site_label
_atom_site_type_symbol
_atom_site_fract_x
_atom_site_fract_y
_atom_site_fract_z
Ce1 Ce 0.000 0.000 0.000
Th1 Th 0.000 0.168 0.500
Th2 Th 0.000 0.333 0.000
Th3 Th 0.000 0.500 0.500
Se1 Se 0.248 0.000 0.750
Se2 Se 0.248 0.166 0.248
```

Summary:
Total moment: 1.3 Bohr magnetons per cell
E_form (uncorrected): -1.59 eV per atom

(8)
## CeHg2Pd5 (GGA-PBE)

Data for a relaxed CeHg2Pd5 crystal.

Structure (CIF):
```
data_CeHg2Pd5
_cell_length_a 4.229
_cell_length_b 4.229
_cell_length_c 16.225
_cell_angle_alpha 90.00
_cell_angle_beta 90.00
_cell_angle_gamma 90.00
_symmetry_space_group_name_H-M 'I 4/m m m'
_symmetry_Int_Tables_number 139
_symmetry_space_group_name_Hall '-I 4 2'
loop_
_atom_site_label
_atom_site_type_symbol
_atom_site_fract_x
_atom_site_fract_y
_atom_site_fract_z
Ce1 Ce 0.000 0.000 0.000
Hg1 Hg 0.000 0.000 0.254
Pd1 Pd 0.000 0.000 0.500
Pd2 Pd 0.000 0.500 0.123
```

Summary:
ΔE_f: -0.47 eV/atom
Total moment: 0.3 Bohr magnetons per cell

(9)
## LiRe2Ir (GGA-PBE)

Data for a relaxed LiRe2Ir crystal.

Structure (CIF):
```
data_LiRe2Ir
_cell_length_a 2.997
_cell_length_b 4.217
_cell_length_c 4.457
_cell_angle_alpha 90.00
_cell_angle_beta 90.00
_cell_angle_gamma 90.00
_symmetry_space_group_name_H-M 'P m m m'
_symmetry_Int_Tables_number 47
_symmetry_space_group_name_Hall '-P 2 2'
loop_
_atom_site_label
_atom_site_type_symbol
_atom_site_fract_x
_atom_site_fract_y
_atom_site_fract_z
Li1 Li 0.000 0.000 0.000
Re1 Re 0.000 0.500 0.500
Re2 Re 0.500 0.000 0.500
Ir1 Ir 0.500 0.500 0.000
```

Summary:
ΔE_f: 0.17 eV/atom
Total moment: 0.0 Bohr magnetons per cell

(10)
## Ba2CaTl (GGA-PBE)

Data for a relaxed Ba2CaTl crystal.

Structure (CIF):
```
data_Ba2CaTl
_cell_length_a 14.815
_cell_length_b 4.227
_cell_length_c 6.407
_cell_angle_alpha 90.00
_cell_angle_beta 115.59
_cell_angle_gamma 90.00
_symmetry_space_group_name_H-M 'C 1 m 1'
_symmetry_Int_Tables_number 8
_symmetry_space_group_name_Hall 'C -2y'
loop_
_atom_site_label
_atom_site_type_symbol
_atom_site_fract_x
_atom_site_fract_y
_atom_site_fract_z
Ba1 Ba 0.000 0.000 0.000
Ba2 Ba 0.197 0.000 0.697
Ca1 Ca 0.295 0.500 0.295
Tl1 Tl 0.480 0.000 0.481
```

Summary:
ΔE_f: -0.21 eV/atom
Total moment: 0.0 Bohr magnetons per cell
Excess energy over the best structure of this formula in the dataset: 0.000 eV/atom

(11)
## GeH2F (GGA-PBE)

Data for a relaxed GeH2F crystal.

Structure (CIF):
```
data_GeH2F
_cell_length_a 3.877
_cell_length_b 3.877
_cell_length_c 10.829
_cell_angle_alpha 90.00
_cell_angle_beta 90.00
_cell_angle_gamma 90.00
_symmetry_space_group_name_H-M 'I -4 2 d'
_symmetry_Int_Tables_number 122
_symmetry_space_group_name_Hall 'I -4 2bw'
loop_
_atom_site_label
_atom_site_type_symbol
_atom_site_fract_x
_atom_site_fract_y
_atom_site_fract_z
Ge1 Ge 0.000 0.000 0.000
H1 H 0.097 0.250 0.125
F1 F 0.000 0.000 0.500
```

Summary:
Total moment: 0.0 Bohr magnetons per cell
Excess energy over the best structure of this formula in the dataset: 0.000 eV/atom

Which value of total moment does entry 5 give?
0.0 Bohr magnetons per cell

total moment of number 3 (RbPaHg2I6)?
0.0 Bohr magnetons per cell

Among the records above, which one has the highest total moment?
CeTh5Se6